[1]
The following is a DFT calculation (PBE-GGA) of a relaxed structure of Cd2CuTc2.

Output
VASP energy = -4.787 eV per atom
energy relative to the elements = 0.55 eV/atom
space group = I4/mmm, No. 139
relative energy among the computed polymorphs = 0.000 eV per atom
D(E_F) = 0.6509 states/eV/atom

```
5
Lattice="-1.743 1.743 7.624 1.743 -1.743 7.624 1.743 1.743 -7.624" Properties=species:S:1:pos:R:3 pbc="T T T"
Cd 0.000 0.000 1.436
Cd 0.000 0.000 13.811
Cu 0.000 0.000 7.624
Tc 1.743 0.000 3.812
Tc 0.000 1.743 3.812
```

***

[2]
The following is a DFT calculation (PBE-GGA) of a relaxed structure of ZrCl.

Output
VASP energy = -6.479 eV per atom
uncorrected formation energy = -1.28 eV/atom
space group = C2/m, No. 12
D(E_F) = 0.1765 states/eV/atom

```
4
Lattice="2.991 -1.727 0.000 2.991 1.727 0.000 -2.011 0.000 9.668" Properties=species:S:1:pos:R:3 pbc="T T T"
Zr -0.008 0.000 3.647
Zr 3.979 0.000 6.021
Cl 1.986 0.000 1.898
Cl 1.985 0.000 7.769
```

***

[3]
The following is a DFT calculation (PBE-GGA) of a relaxed structure of K4AuBr2Cl.

Output
VASP energy = -3.026 eV per atom
uncorrected formation energy = -1.42 eV/atom
space group = P2/m, No. 10
D(E_F) = 0.0000 states/eV/atom

```
8
Lattice="8.140 0.000 0.000 0.000 4.684 0.000 -2.700 0.000 7.718" Properties=species:S:1:pos:R:3 pbc="T T T"
K 1.335 0.000 1.853
K -0.009 2.342 5.851
K 5.448 2.342 1.867
K 4.104 0.000 5.865
Au -1.350 0.000 3.859
Br 4.070 0.000 0.000
Br 2.720 2.342 3.859
Cl 0.000 2.342 0.000
```

***

[4]
The following is a DFT calculation (PBE-GGA) of a relaxed structure of CaReSb2Se.

Output
VASP energy = -3.461 eV per atom
uncorrected formation energy = 1.77 eV/atom
space group = P4/mmm, No. 123
D(E_F) = 0.8849 states/eV/atom

```
5
Lattice="5.648 0.000 0.000 0.000 5.648 0.000 0.000 0.000 5.262" Properties=species:S:1:pos:R:3 pbc="T T T"
Ca 0.000 0.000 0.000
Re 0.000 0.000 2.631
Sb 0.000 2.824 0.000
Sb 2.824 0.000 0.000
Se 2.824 2.824 2.631
```

***

[5]
The following is a DFT calculation (PBE-GGA) of a relaxed structure of NdZnSi.

Output
VASP energy = -3.998 eV per atom
uncorrected formation energy = -0.18 eV/atom
space group = I4mm, No. 107
D(E_F) = 0.6777 states/eV/atom

```
3
Lattice="-1.718 1.718 5.361 1.718 -1.718 5.361 1.718 1.718 -5.361" Properties=species:S:1:pos:R:3 pbc="T T T"
Nd 0.000 0.000 0.000
Zn 0.000 0.000 7.473
Si 0.000 0.000 3.231
```

***

[6]
The following is a DFT calculation (PBE-GGA) of a relaxed structure of BaY2Be.

Output
VASP energy = -4.027 eV per atom
energy relative to the elements = 0.62 eV/atom
space group = C2/m, No. 12
D(E_F) = 1.4465 states/eV/atom

```
4
Lattice="3.400 -5.939 0.000 3.400 5.939 0.000 -1.779 0.000 3.096" Properties=species:S:1:pos:R:3 pbc="T T T"
Ba 0.000 0.000 0.000
Y 0.811 2.969 1.548
Y 0.811 -2.969 1.548
Be 3.400 0.000 0.000
```